Y4ZnPt (PBE, relaxed); energy of formation from the pure elements = 0.424 eV/atom; space-group type = F-43m (216); VASP energy = -30.63 eV per cell; relative energy among the computed polymorphs = 1.0052 eV per atom; mass density = 6.5 g/cm3
1.0
0.000 4.281 4.281
4.281 0.000 4.281
4.281 4.281 0.000
Y Pt Zn
4 1 1
Cartesian
5.356 5.356 3.205
5.356 3.205 5.356
3.205 5.356 5.356
3.205 3.205 3.205
0.000 0.000 0.000
6.421 6.421 6.421